1.
Na2B2S5 | PBE-GGA | optimized geometry

Lattice parameters (Å, degrees): 12.730 7.660 8.350 90.00 90.00 90.00
Space group Pnma (No. 62)
Inequivalent atoms, fractional coordinates:
Na: 0.162 0.002 0.012 (multiplicity 8)
B: 0.022 0.250 0.710 (multiplicity 4)
B: 0.129 0.250 0.409 (multiplicity 4)
S: 0.002 0.750 0.079 (multiplicity 4)
S: 0.007 0.750 0.652 (multiplicity 4)
S: 0.086 0.750 0.432 (multiplicity 4)
S: 0.154 0.250 0.625 (multiplicity 4)
S: 0.234 0.250 0.268 (multiplicity 4)

---

2.
RbPrCuI5 | PBE-GGA | optimized geometry

Lattice parameters (Å, degrees): 10.260 13.524 11.618 90.00 113.87 90.00
Space group C2/c (No. 15)
Inequivalent atoms, fractional coordinates:
Rb: 0.000 0.137 0.250 (multiplicity 4)
Pr: 0.000 0.500 0.000 (multiplicity 4)
Cu: 0.000 0.190 0.750 (multiplicity 4)
I: 0.000 0.409 0.250 (multiplicity 4)
I: 0.119 0.294 0.626 (multiplicity 8)
I: 0.187 0.079 0.931 (multiplicity 8)

---

3.
Ac2NiPt | PBE-GGA | optimized geometry

- energy relative to the elements (kJ/mol of atoms) = -68.5

Lattice parameters (Å, degrees): 4.283 25.091 4.362 90.00 90.00 90.00
Space group Cmcm (No. 63)
Inequivalent atoms, fractional coordinates:
Ac: 0.000 0.065 0.250 (multiplicity 4)
Ac: 0.000 0.310 0.250 (multiplicity 4)
Ni: 0.000 0.478 0.250 (multiplicity 4)
Pt: 0.000 0.187 0.250 (multiplicity 4)

---

4.
Sm2InTe4 | PBE-GGA | optimized geometry

Lattice parameters (Å, degrees): 16.387 4.428 7.879 90.00 116.70 90.00
Space group C2/m (No. 12)
Inequivalent atoms, fractional coordinates:
Sm: 0.239 0.000 0.223 (multiplicity 4)
In: 0.000 0.500 0.500 (multiplicity 2)
Te: 0.120 0.500 0.948 (multiplicity 4)
Te: 0.136 0.000 0.479 (multiplicity 4)

---

5.
CeAsRhN | PBE-GGA | optimized geometry

Lattice parameters (Å, degrees): 4.055 4.055 8.440 90.00 90.00 90.00
Space group P4/nmm (No. 129, origin choice 2)
Inequivalent atoms, fractional coordinates:
Ce: 0.250 0.250 0.128 (multiplicity 2)
As: 0.250 0.250 0.666 (multiplicity 2)
Rh: 0.250 0.750 0.500 (multiplicity 2)
N: 0.250 0.750 0.000 (multiplicity 2)

---

6.
Zn2Cu7Rh2 | PBE-GGA | optimized geometry

- energy relative to the elements (kJ/mol of atoms) = 5.4

Lattice parameters (Å, degrees): 6.768 7.877 5.856 90.00 107.28 90.00
Space group C2/m (No. 12)
Inequivalent atoms, fractional coordinates:
Zn: 0.000 0.225 0.000 (multiplicity 4)
Cu: 0.000 0.500 0.500 (multiplicity 2)
Cu: 0.177 0.230 0.670 (multiplicity 8)
Cu: 0.196 0.500 0.982 (multiplicity 4)
Rh: 0.092 0.000 0.329 (multiplicity 4)

---

7.
ScMo2Rh | PBE-GGA | optimized geometry

- energy relative to the elements (kJ/mol of atoms) = -8.0

Lattice parameters (Å, degrees): 2.806 4.711 5.063 90.00 102.27 90.00
Space group P2/m (No. 10)
Inequivalent atoms, fractional coordinates:
Sc: 0.000 0.000 0.000 (multiplicity 1)
Mo: 0.266 0.500 0.756 (multiplicity 2)
Rh: 0.500 0.000 0.500 (multiplicity 1)

---

8.
Pm2Mg3Rh4 | PBE-GGA | optimized geometry

- energy relative to the elements (kJ/mol of atoms) = -52.0

Lattice parameters (Å, degrees): 5.845 16.792 7.121 90.00 90.00 90.00
Space group Cmce (No. 64)
Inequivalent atoms, fractional coordinates:
Pm: 0.000 0.100 0.089 (multiplicity 8)
Mg: 0.000 0.000 0.500 (multiplicity 4)
Mg: 0.250 0.234 0.750 (multiplicity 8)
Rh: 0.000 0.162 0.473 (multiplicity 8)
Rh: 0.250 0.074 0.750 (multiplicity 8)

---

How do the records compare in DOS at the Fermi energy? In the order shown, they have 0.000; 0.000; 0.629; 0.336; 0.585; 0.584; 0.812; 0.481 states/eV per atom.
How do the records compare in uncorrected energy? In the order shown, they have -4.770; -3.293; -5.720; -4.569; -7.705; -4.119; -8.919; -5.394 eV/atom.